1.
PrThAl2Pd5 | GGA-PBE | optimized geometry

The space group is P4/mmm (No. 123) and the conventional cell measures 4.3904, 4.3904 and 9.0334 Å, with angles of 90.00, 90.00 and 90.00 degrees. The distinct sites, in fractional coordinates, are Pr at (0.0000, 0.0000, 0.0000), Th at (0.0000, 0.0000, 0.5000), Al at (0.5000, 0.5000, 0.3539), Pd at (0.0000, 0.5000, 0.2288) and Pd at (0.5000, 0.5000, 0.0000).

The value obtained for the calculated formation energy is -0.78 eV per atom. As for the density: 9.15 g/cm3. The final energy is -0.215 hartree per atom.

---

2.
PrTmAlPd | GGA-PBE | optimized geometry

The space group is F-43m (No. 216) and the conventional cell measures 7.2597, 7.2597 and 7.2597 Å, with angles of 90.00, 90.00 and 90.00 degrees. The distinct sites, in fractional coordinates, are Pr at (0.0000, 0.0000, 0.0000), Tm at (0.0000, 0.0000, 0.5000), Al at (0.2500, 0.2500, 0.2500) and Pd at (0.2500, 0.2500, 0.7500).

The value obtained for the calculated formation energy is -0.51 eV per atom. As for the density: 7.69 g/cm3. The final energy is -0.186 hartree per atom.